DFT (GGA-PBE) results for crystalline Mn5BeCr2Tc2 at its relaxed geometry.

Cell lengths 9.081, 9.081, 2.828 Å; angles 90.00, 90.00, 90.00 degrees
Fractional coordinates of all 20 atoms:
Mn 0.000 0.500 0.000
Mn 0.050 0.187 0.000
Mn 0.187 0.950 0.000
Mn 0.313 0.450 0.000
Mn 0.450 0.687 0.000
Mn 0.500 0.000 0.000
Mn 0.550 0.313 0.000
Mn 0.687 0.550 0.000
Mn 0.813 0.050 0.000
Mn 0.950 0.813 0.000
Be 0.000 0.000 0.500
Be 0.500 0.500 0.500
Cr 0.137 0.363 0.500
Cr 0.363 0.863 0.500
Cr 0.637 0.137 0.500
Cr 0.863 0.637 0.500
Tc 0.176 0.676 0.500
Tc 0.324 0.176 0.500
Tc 0.676 0.824 0.500
Tc 0.824 0.324 0.500

Results
V: 11.66 Å³/atom
Formation energy from the elements: 2.6 eV/f.u.
Magnetization: 0.00 μB/f.u.
DFT total energy: -8.699 eV per atom

---

DFT (GGA-PBE) results for crystalline Ti2Mn5Be2Cr at its relaxed geometry.

Cell lengths 8.773, 8.773, 3.039 Å; angles 90.00, 90.00, 90.00 degrees
Fractional coordinates of all 20 atoms:
Ti 0.169 0.331 0.000
Ti 0.331 0.831 0.000
Ti 0.669 0.169 0.000
Ti 0.831 0.669 0.000
Mn 0.000 0.500 0.500
Mn 0.068 0.797 0.500
Mn 0.203 0.068 0.500
Mn 0.297 0.568 0.500
Mn 0.432 0.297 0.500
Mn 0.500 0.000 0.500
Mn 0.568 0.703 0.500
Mn 0.703 0.432 0.500
Mn 0.797 0.932 0.500
Mn 0.932 0.203 0.500
Be 0.125 0.625 0.000
Be 0.375 0.125 0.000
Be 0.625 0.875 0.000
Be 0.875 0.375 0.000
Cr 0.000 0.000 0.000
Cr 0.500 0.500 0.000

Results
V: 11.69 Å³/atom
Formation energy from the elements: -1.0 eV/f.u.
Magnetization: 6.16 μB/f.u.
DFT total energy: -7.972 eV per atom

---

DFT (GGA-PBE) results for crystalline MnBeCrW at its relaxed geometry.

Cell lengths 4.106, 4.106, 4.106 Å; angles 60.00, 60.00, 60.00 degrees
Fractional coordinates of all 4 atoms:
Mn 0.000 0.000 0.000
Be 0.750 0.750 0.750
Cr 0.500 0.500 0.500
W 0.250 0.250 0.250

Results
V: 12.24 Å³/atom
Formation energy from the elements: 0.3 eV/f.u.
Magnetization: 2.92 μB/f.u.
DFT total energy: -8.804 eV per atom

---

DFT (GGA-PBE) results for crystalline Mn5Be2CrW2 at its relaxed geometry.

Cell lengths 8.673, 8.673, 2.987 Å; angles 90.00, 90.00, 90.00 degrees
Fractional coordinates of all 20 atoms:
Mn 0.000 0.500 0.000
Mn 0.067 0.205 0.000
Mn 0.205 0.933 0.000
Mn 0.295 0.433 0.000
Mn 0.433 0.705 0.000
Mn 0.500 0.000 0.000
Mn 0.567 0.295 0.000
Mn 0.705 0.567 0.000
Mn 0.795 0.067 0.000
Mn 0.933 0.795 0.000
Be 0.124 0.376 0.500
Be 0.376 0.876 0.500
Be 0.624 0.124 0.500
Be 0.876 0.624 0.500
Cr 0.000 0.000 0.500
Cr 0.500 0.500 0.500
W 0.173 0.673 0.500
W 0.327 0.173 0.500
W 0.673 0.827 0.500
W 0.827 0.327 0.500

Results
V: 11.23 Å³/atom
Formation energy from the elements: -0.2 eV/f.u.
Magnetization: 3.10 μB/f.u.
DFT total energy: -8.902 eV per atom

---

DFT (GGA-PBE) results for crystalline Be2CrMo at its relaxed geometry.

Cell lengths 4.094, 4.094, 2.727 Å; angles 90.00, 90.00, 90.00 degrees
Fractional coordinates of all 4 atoms:
Be 0.000 0.500 0.000
Be 0.500 0.000 0.000
Cr 0.000 0.000 0.500
Mo 0.500 0.500 0.500

Results
V: 11.43 Å³/atom
Formation energy from the elements: 0.8 eV/f.u.
Magnetization: 2.53 μB/f.u.
Energy above the lowest structure with this stoichiometry: 286 meV/atom
DFT total energy: -6.769 eV per atom

---

DFT (GGA-PBE) results for crystalline Be2CrMo at its relaxed geometry.

Cell lengths 4.508, 4.508, 4.508 Å; angles 135.23, 135.23, 65.17 degrees
Fractional coordinates of all 4 atoms:
Be 0.000 0.000 0.000
Be 0.750 0.250 0.500
Cr 0.250 0.750 0.500
Mo 0.500 0.500 0.000

Results
V: 11.20 Å³/atom
Formation energy from the elements: 0.3 eV/f.u.
Magnetization: 0.00 μB/f.u.
Energy above the lowest structure with this stoichiometry: 155 meV/atom
DFT total energy: -6.901 eV per atom

---

DFT (GGA-PBE) results for crystalline BeCrMo2 at its relaxed geometry.

Cell lengths 4.253, 4.253, 4.253 Å; angles 60.00, 60.00, 60.00 degrees
Fractional coordinates of all 4 atoms:
Be 0.000 0.000 0.000
Cr 0.750 0.750 0.750
Mo 0.250 0.250 0.250
Mo 0.500 0.500 0.500

Results
V: 13.60 Å³/atom
Formation energy from the elements: 0.8 eV/f.u.
Magnetization: 1.93 μB/f.u.
DFT total energy: -8.541 eV per atom

---

DFT (GGA-PBE) results for crystalline Be3CrMo at its relaxed geometry.

Cell lengths 4.111, 4.111, 4.111 Å; angles 90.00, 90.00, 90.00 degrees
Fractional coordinates of all 5 atoms:
Be 0.000 0.000 0.500
Be 0.000 0.500 0.000
Be 0.500 0.000 0.000
Cr 0.500 0.500 0.500
Mo 0.000 0.000 0.000

Results
V: 13.90 Å³/atom
Formation energy from the elements: 7.9 eV/f.u.
Magnetization: 0.00 μB/f.u.
Energy above the lowest structure with this stoichiometry: 492 meV/atom
DFT total energy: -4.745 eV per atom

---

DFT (GGA-PBE) results for crystalline Be2CrMo at its relaxed geometry.

Cell lengths 3.503, 3.503, 3.665 Å; angles 90.00, 90.00, 90.00 degrees
Fractional coordinates of all 4 atoms:
Be 0.000 0.500 0.000
Be 0.500 0.000 0.000
Cr 0.000 0.000 0.500
Mo 0.500 0.500 0.500

Results
V: 11.24 Å³/atom
Formation energy from the elements: 0.3 eV/f.u.
Magnetization: 0.01 μB/f.u.
Energy above the lowest structure with this stoichiometry: 146 meV/atom
DFT total energy: -6.909 eV per atom

---

DFT (GGA-PBE) results for crystalline Be2CrMo at its relaxed geometry.

Cell lengths 4.435, 4.435, 4.435 Å; angles 136.21, 130.66, 68.07 degrees
Fractional coordinates of all 4 atoms:
Be 0.247 0.247 0.000
Be 0.753 0.753 0.000
Cr 0.000 0.500 0.500
Mo 0.500 0.000 0.500

Results
V: 11.25 Å³/atom
Formation energy from the elements: 0.3 eV/f.u.
Magnetization: 0.00 μB/f.u.
Energy above the lowest structure with this stoichiometry: 156 meV/atom
DFT total energy: -6.899 eV per atom

---

DFT (GGA-PBE) results for crystalline BeCrMo2 at its relaxed geometry.

Cell lengths 4.834, 4.834, 4.834 Å; angles 142.22, 128.03, 66.02 degrees
Fractional coordinates of all 4 atoms:
Be 0.000 0.000 0.000
Cr 0.500 0.500 0.000
Mo 0.260 0.760 0.500
Mo 0.740 0.240 0.500

Results
V: 13.43 Å³/atom
Formation energy from the elements: 0.7 eV/f.u.
Magnetization: 0.00 μB/f.u.
DFT total energy: -8.574 eV per atom

---

DFT (GGA-PBE) results for crystalline Be4CrMo at its relaxed geometry.

Cell lengths 4.345, 4.345, 7.097 Å; angles 90.00, 90.00, 120.00 degrees
Fractional coordinates of all 12 atoms:
Be 0.000 0.000 0.000
Be 0.000 0.000 0.500
Be 0.170 0.340 0.241
Be 0.170 0.830 0.241
Be 0.340 0.170 0.759
Be 0.660 0.830 0.241
Be 0.830 0.170 0.759
Be 0.830 0.660 0.759
Cr 0.333 0.667 0.939
Cr 0.667 0.333 0.061
Mo 0.333 0.667 0.567
Mo 0.667 0.333 0.433

Results
V: 9.67 Å³/atom
Formation energy from the elements: -1.6 eV/f.u.
Magnetization: 0.00 μB/f.u.
Energy above the lowest structure with this stoichiometry: 5 meV/atom
DFT total energy: -6.157 eV per atom

---

> Number 4 is which compound?

Mn5Be2CrW2

---

> Look up the DFT total energy of the tenth one.

-6.899 eV per atom

---

> Which value of V does entry 7 give?

13.60 Å³/atom